# meta-GGA SCAN ZrNiSe2, single point on PBEsol structure
# M_tot (μB per formula unit): 0.00
# DFT total energy (eV per cell): -89.302
# Formation energy without anion corrections (eV per atom): -0.568
# DOS(E_F) (states/eV per cell): 2.01
data_ZrNiSe2
_cell_length_a 4.393
_cell_length_b 4.393
_cell_length_c 3.355
_cell_angle_alpha 90.00
_cell_angle_beta 90.00
_cell_angle_gamma 90.00
_space_group_name_H-M_alt 'P 4/m m m'
_space_group_IT_number 123
_space_group_name_Hall '-P 4 2'
loop_
_atom_site_label
_atom_site_type_symbol
_atom_site_fract_x
_atom_site_fract_y
_atom_site_fract_z
_atom_site_occupancy
Zr1 Zr 0.000 0.000 0.000 1
Ni1 Ni 0.500 0.500 0.000 1
Se1 Se 0.000 0.500 0.500 1


# meta-GGA SCAN Si3Ni5, single point on PBEsol structure
# M_tot (μB per formula unit): 0.00
# DFT total energy (eV per cell): -229.933
# Formation energy without anion corrections (eV per atom): -0.507
# DOS(E_F) (states/eV per cell): 6.21
data_Si3Ni5
_cell_length_a 6.294
_cell_length_b 7.359
_cell_length_c 3.675
_cell_angle_alpha 90.00
_cell_angle_beta 90.00
_cell_angle_gamma 90.00
_space_group_name_H-M_alt 'C m m m'
_space_group_IT_number 65
_space_group_name_Hall '-C 2 2'
loop_
_atom_site_label
_atom_site_type_symbol
_atom_site_fract_x
_atom_site_fract_y
_atom_site_fract_z
_atom_site_occupancy
Si1 Si 0.000 0.000 0.000 1
Si2 Si 0.000 0.292 0.500 1
Ni1 Ni 0.000 0.500 0.000 1
Ni2 Ni 0.204 0.000 0.500 1
Ni3 Ni 0.250 0.250 0.000 1


> What is the formula in the first record?

ZrNiSe2


Repeat the first record exactly.
# meta-GGA SCAN ZrNiSe2, single point on PBEsol structure
# M_tot (μB per formula unit): 0.00
# DFT total energy (eV per cell): -89.302
# Formation energy without anion corrections (eV per atom): -0.568
# DOS(E_F) (states/eV per cell): 2.01
data_ZrNiSe2
_cell_length_a 4.393
_cell_length_b 4.393
_cell_length_c 3.355
_cell_angle_alpha 90.00
_cell_angle_beta 90.00
_cell_angle_gamma 90.00
_space_group_name_H-M_alt 'P 4/m m m'
_space_group_IT_number 123
_space_group_name_Hall '-P 4 2'
loop_
_atom_site_label
_atom_site_type_symbol
_atom_site_fract_x
_atom_site_fract_y
_atom_site_fract_z
_atom_site_occupancy
Zr1 Zr 0.000 0.000 0.000 1
Ni1 Ni 0.500 0.500 0.000 1
Se1 Se 0.000 0.500 0.500 1


> Look up the DOS(E_F) of the first one.

2.01 states/eV per cell


> The lowest formation energy without anion corrections belongs to which entry?

ZrNiSe2